Record 1
VASP calculation (PBE) on a relaxed structure of ZrAlOs2.

## Properties
The value obtained for the volume is 64 Å³/f.u. As for the total magnetic moment: 0.00 μB per cell. The formation energy is -0.061 eV/atom. Its density of states at the Fermi level is 2.5 states/eV/f.u. For the uncorrected energy, the calculation gives -8.748 eV/atom. The value obtained for the calculated density is 12.90 g/cm³.

Lattice parameters (Å, degrees): 2.8853 2.8853 8.2864 90.00 90.00 111.53
With the nearest neighbours (Å) after each atom.
Atoms (fractional coordinates):
Zr1 0.0000 0.0000 0.0000  4 Os 2.73, 4 Zr 2.89
Al1 0.0000 0.0000 0.5000  4 Os 2.53
Os1 0.5000 0.5000 0.2650  2 Al 2.53, 2 Zr 2.73
Os2 0.5000 0.5000 0.7350  2 Al 2.53, 2 Zr 2.73

=====

Record 2
VASP calculation (PBE) on a relaxed structure of SrMgAsH2.

## Properties
The value obtained for the volume is 82 Å³/f.u. As for the total magnetic moment: 0.00 μB per cell. Its density of states at the Fermi level is 1.2 states/eV/f.u. For the uncorrected energy, the calculation gives -3.460 eV/atom. The value obtained for the calculated density is 3.83 g/cm³.

Lattice parameters (Å, degrees): 6.1873 6.1873 6.5474 90.00 90.00 139.24
With the nearest neighbours (Å) after each atom.
Atoms (fractional coordinates):
Sr1 0.2214 0.7786 0.7500  6 H 2.42-2.57
Sr2 0.7786 0.2214 0.2500  6 H 2.42-2.57
Mg1 0.5000 0.5000 0.0000  2 H 1.95
Mg2 0.5000 0.5000 0.5000  2 H 1.95
As1 0.0525 0.9475 0.2500  4 Mg 2.77
As2 0.9475 0.0525 0.7500  4 Mg 2.77
H1 0.3350 0.6650 0.0605  1 Mg 1.95
H2 0.3350 0.6650 0.4395  1 Mg 1.95
H3 0.6650 0.3350 0.5605  1 Mg 1.95
H4 0.6650 0.3350 0.9395  1 Mg 1.95

=====

Record 3
VASP calculation (PBE) on a relaxed structure of Ce2ErPu.

## Properties
The value obtained for the volume is 112 Å³/f.u. As for the total magnetic moment: 7.31 μB per cell. As for the energy relative to the lowest polymorph listed for this composition: 0.112 eV/atom. The formation energy is 0.219 eV/atom. Its density of states at the Fermi level is 11.0 states/eV/f.u. For the uncorrected energy, the calculation gives -7.472 eV/atom. The value obtained for the calculated density is 10.23 g/cm³.

Lattice parameters (Å, degrees): 5.3810 5.3810 5.3810 60.84 60.84 60.84
With the nearest neighbours (Å) after each atom.
Atoms (fractional coordinates):
Ce1 0.0000 0.0000 0.0000  4 Er 3.13-3.38, 3 Ce 3.17
Ce2 0.3041 0.3041 0.3041  1 Pu 2.76
Er1 0.7610 0.7610 0.7610  4 Ce 3.13-3.38, 4 Pu 3.22-3.35
Pu1 0.5150 0.5150 0.5150  1 Ce 2.76